(a)
Sm3Hg2Ir: optimized geometry, PBE.

Output
**DOS at the Fermi energy**: 7.53 states/eV/cell
**Crystal system**: orthorhombic
**Total magnetic moment**: 0.000 Bohr magnetons per cell

Structure (POSCAR):
```
Sm3Hg2Ir
1.0
5.158 0.000 0.021
2.579 7.784 0.010
-0.032 0.000 7.549
Hg Sm Ir
4 6 2
direct
0.000 0.000 0.000
0.000 0.000 0.500
0.334 0.332 0.500
0.666 0.668 0.500
0.175 0.651 0.776
0.174 0.651 0.224
0.500 0.000 0.237
0.826 0.349 0.776
0.825 0.349 0.224
0.500 0.000 0.763
0.654 0.692 0.000
0.346 0.308 0.000
```

---

(b)
Sm3Hg2Ir: optimized geometry, PBE.

Output
**DOS at the Fermi energy**: 7.87 states/eV/cell
**Crystal system**: monoclinic
**Total magnetic moment**: 0.000 Bohr magnetons per cell

Structure (POSCAR):
```
Sm3Hg2Ir
1.0
-0.373 4.424 -3.906
-7.583 1.218 2.104
4.259 2.202 6.563
Hg Sm Ir
4 6 2
direct
0.691 0.596 0.382
0.310 0.904 0.618
0.690 0.096 0.382
0.309 0.404 0.618
0.133 0.566 0.265
0.132 0.066 0.265
0.867 0.434 0.735
0.500 0.750 0.000
0.500 0.250 0.000
0.868 0.934 0.735
0.000 0.250 0.000
0.000 0.750 0.000
```

---

Least stable: (b)

---

(a)
Sm5Hg2Ir: optimized geometry, PBE.

Output
**DOS at the Fermi energy**: 17.70 states/eV/cell
**Crystal system**: orthorhombic
**Total magnetic moment**: 0.642 Bohr magnetons per cell

Structure (POSCAR):
```
Sm5Hg2Ir
1.0
-4.760 -0.785 3.298
4.416 -5.441 -0.098
6.211 4.858 10.122
Hg Sm Ir
4 10 2
direct
0.178 0.356 0.873
0.822 0.644 0.373
0.822 0.644 0.127
0.178 0.356 0.627
0.627 0.254 0.572
0.075 0.149 0.395
0.384 0.768 0.750
0.925 0.851 0.605
0.616 0.232 0.250
0.373 0.746 0.428
0.627 0.254 0.928
0.925 0.851 0.895
0.075 0.149 0.105
0.373 0.746 0.072
0.230 0.461 0.250
0.770 0.539 0.750
```

---

(b)
Sm5Hg2Ir: optimized geometry, PBE.

Output
**DOS at the Fermi energy**: 15.94 states/eV/cell
**Crystal system**: orthorhombic
**Total magnetic moment**: 0.000 Bohr magnetons per cell

Structure (POSCAR):
```
Sm5Hg2Ir
1.0
-0.254 4.368 -2.191
-7.032 -1.511 -2.197
-4.315 4.963 10.397
Sm Hg Ir
10 4 2
direct
0.000 0.856 0.206
0.500 0.178 0.080
0.000 0.144 0.794
0.500 0.822 0.920
0.500 0.322 0.580
0.500 0.678 0.420
0.000 0.356 0.294
0.000 0.644 0.706
0.000 0.500 0.000
0.000 0.000 0.500
0.500 0.922 0.664
0.500 0.422 0.836
0.500 0.578 0.164
0.500 0.078 0.336
0.000 0.000 0.000
0.000 0.500 0.500
```

---

Least stable: (a)

---

(a)
Sm6Hg2Ir: optimized geometry, PBE.

Output
**DOS at the Fermi energy**: 16.27 states/eV/cell
**Crystal system**: orthorhombic
**Total magnetic moment**: 0.000 Bohr magnetons per cell

Structure (POSCAR):
```
Sm6Hg2Ir
1.0
8.241 -0.058 2.957
-4.368 7.143 2.561
-0.021 -0.058 8.755
Sm Hg Ir
12 4 2
direct
0.833 0.246 0.921
0.087 0.269 0.182
0.451 0.269 0.818
0.332 0.601 0.731
0.332 0.063 0.269
0.668 0.399 0.269
0.167 0.246 0.587
0.668 0.937 0.731
0.167 0.754 0.079
0.833 0.754 0.413
0.913 0.731 0.818
0.549 0.731 0.182
0.646 0.000 0.354
0.144 0.644 0.500
0.354 0.000 0.646
0.856 0.356 0.500
0.000 0.000 0.000
0.500 0.500 0.000
```

---

(b)
Sm6Hg2Ir: optimized geometry, PBE.

Output
**DOS at the Fermi energy**: 15.85 states/eV/cell
**Crystal system**: monoclinic
**Total magnetic moment**: 0.000 Bohr magnetons per cell

Structure (POSCAR):
```
Sm6Hg2Ir
1.0
7.085 0.000 0.226
0.000 7.510 0.000
-0.560 0.000 10.511
Sm Hg Ir
12 4 2
direct
0.190 0.313 0.445
0.690 0.187 0.945
0.819 0.695 0.948
0.380 0.513 0.746
0.310 0.813 0.055
0.319 0.805 0.448
0.810 0.687 0.555
0.880 0.987 0.246
0.120 0.013 0.754
0.181 0.305 0.052
0.681 0.195 0.552
0.620 0.487 0.254
0.543 0.906 0.744
0.957 0.406 0.756
0.043 0.594 0.244
0.457 0.094 0.256
0.000 0.000 0.500
0.500 0.500 0.000
```

---

Least stable: (a)

---

(a)
SnHgIr2: optimized geometry, PBE.

Output
**DOS at the Fermi energy**: 3.61 states/eV/cell
**Crystal system**: cubic
**Total magnetic moment**: 0.000 Bohr magnetons per cell

Structure (POSCAR):
```
SnHgIr2
1.0
0.000 3.271 3.271
3.271 0.000 3.271
3.271 3.271 0.000
Ir Sn Hg
2 1 1
direct
0.250 0.250 0.250
0.750 0.750 0.750
0.000 0.000 0.000
0.500 0.500 0.500
```

---

(b)
SnHgIr2: optimized geometry, PBE.

Output
**DOS at the Fermi energy**: 1.89 states/eV/cell
**Crystal system**: tetragonal
**Total magnetic moment**: 0.000 Bohr magnetons per cell

Structure (POSCAR):
```
SnHgIr2
1.0
7.366 0.000 0.000
0.000 7.366 0.000
3.683 3.683 2.858
Ir Sn Hg
4 2 2
direct
0.146 0.625 0.250
0.875 0.854 0.750
0.375 0.396 0.750
0.604 0.125 0.250
0.500 0.500 0.000
0.250 0.750 0.500
0.000 0.000 0.000
0.750 0.250 0.500
```

---

Least stable: (b)